Entry from Alexandria via LeMat-Bulk: a relaxed structure of HfTa2In (PBE-GGA).

```
8
Lattice="-2.029 2.029 10.379 2.029 -2.029 10.379 2.029 2.029 -10.379" Properties=species:S:1:pos:R:3 pbc="T T T"
Hf 0.000 0.000 0.000
Hf 0.000 2.029 5.189
Ta 3.043 0.988 -2.595
Ta 0.988 1.014 2.595
Ta -1.014 1.041 7.784
Ta 1.041 1.014 12.974
In 2.029 0.000 5.189
In 0.000 0.000 10.379
```

The formation enthalpy at 0 K comes out at 0.548 eV/atom. As for the symmetry: I-42d, No. 122. The calculation puts the volume at 21.358 Å³/atom.